(1)
# Pr6Nd8Pb | Alexandria | GGA-PBE | optimized geometry
# E: -0.1713 Ha/atom
# ΔE_f: 0.60 eV per formula unit
data_Pr6Nd8Pb
_symmetry_space_group_name_H-M 'P -3'
_symmetry_Int_Tables_number 147
_symmetry_space_group_name_Hall '-P 3'
_cell_length_a 9.5351
_cell_length_b 9.5351
_cell_length_c 6.7717
_cell_angle_alpha 90.00
_cell_angle_beta 90.00
_cell_angle_gamma 120.00
loop_
_atom_site_label
_atom_site_type_symbol
_atom_site_fract_x
_atom_site_fract_y
_atom_site_fract_z
Pr1 Pr 0.0905 0.6481 0.1671
Nd1 Nd 0.0392 0.7712 0.6775
Nd2 Nd 0.3333 0.6667 0.6275
Pb1 Pb 0.0000 0.0000 0.0000

(2)
# Pr4NdPb5 | Alexandria | GGA-PBE | optimized geometry
# E: -0.1751 Ha/atom
# ΔE_f: -5.22 eV per formula unit
data_Pr4NdPb5
_symmetry_space_group_name_H-M 'P 4/m m m'
_symmetry_Int_Tables_number 123
_symmetry_space_group_name_Hall '-P 4 2'
_cell_length_a 3.621
_cell_length_b 3.621
_cell_length_c 23.327
_cell_angle_alpha 90.00
_cell_angle_beta 90.00
_cell_angle_gamma 90.00
loop_
_atom_site_label
_atom_site_type_symbol
_atom_site_fract_x
_atom_site_fract_y
_atom_site_fract_z
Pr1 Pr 0.000 0.000 0.100
Pr2 Pr 0.000 0.000 0.301
Nd1 Nd 0.000 0.000 0.500
Pb1 Pb 0.500 0.500 0.000
Pb2 Pb 0.500 0.500 0.200
Pb3 Pb 0.500 0.500 0.401

(3)
# Pr2Nd3Pb4 | Alexandria | GGA-PBE | optimized geometry
# distance to the lowest polymorph of the same formula: 152 meV/atom
# E: -0.1741 Ha/atom
# ΔE_f: -3.94 eV per formula unit
data_Pr2Nd3Pb4
_symmetry_space_group_name_H-M 'C m c e'
_symmetry_Int_Tables_number 64
_symmetry_space_group_name_Hall '-C 2ac 2'
_cell_length_a 7.328
_cell_length_b 17.748
_cell_length_c 9.304
_cell_angle_alpha 90.00
_cell_angle_beta 90.00
_cell_angle_gamma 90.00
loop_
_atom_site_label
_atom_site_type_symbol
_atom_site_fract_x
_atom_site_fract_y
_atom_site_fract_z
Pr1 Pr 0.000 0.111 0.091
Nd1 Nd 0.000 0.000 0.500
Nd2 Nd 0.250 0.205 0.750
Pb1 Pb 0.000 0.185 0.443
Pb2 Pb 0.250 0.028 0.750

(4)
# Pr3Nd4Pb4 | Alexandria | GGA-PBE | optimized geometry
# E: -0.1709 Ha/atom
# ΔE_f: -2.91 eV per formula unit
data_Pr3Nd4Pb4
_symmetry_space_group_name_H-M 'I m m m'
_symmetry_Int_Tables_number 71
_symmetry_space_group_name_Hall '-I 2 2'
_cell_length_a 3.855
_cell_length_b 5.320
_cell_length_c 35.841
_cell_angle_alpha 90.00
_cell_angle_beta 90.00
_cell_angle_gamma 90.00
loop_
_atom_site_label
_atom_site_type_symbol
_atom_site_fract_x
_atom_site_fract_y
_atom_site_fract_z
Pr1 Pr 0.000 0.000 0.000
Pr2 Pr 0.000 0.500 0.148
Nd1 Nd 0.000 0.000 0.263
Nd2 Nd 0.000 0.500 0.407
Pb1 Pb 0.000 0.000 0.454
Pb2 Pb 0.000 0.500 0.317

(5)
# PrNd12Pb3 | Alexandria | GGA-PBE | optimized geometry
# E: -0.1767 Ha/atom
# ΔE_f: -3.83 eV per formula unit
data_PrNd12Pb3
_symmetry_space_group_name_H-M 'P 4/m m m'
_symmetry_Int_Tables_number 123
_symmetry_space_group_name_Hall '-P 4 2'
_cell_length_a 5.021
_cell_length_b 5.021
_cell_length_c 20.535
_cell_angle_alpha 90.00
_cell_angle_beta 90.00
_cell_angle_gamma 90.00
loop_
_atom_site_label
_atom_site_type_symbol
_atom_site_fract_x
_atom_site_fract_y
_atom_site_fract_z
Pr1 Pr 0.000 0.000 0.000
Nd1 Nd 0.000 0.500 0.133
Nd2 Nd 0.000 0.500 0.379
Nd3 Nd 0.500 0.500 0.000
Nd4 Nd 0.500 0.500 0.258
Nd5 Nd 0.500 0.500 0.500
Pb1 Pb 0.000 0.000 0.256
Pb2 Pb 0.000 0.000 0.500

(6)
# Pr12Nd6Pb | Alexandria | GGA-PBE | optimized geometry
# distance to the lowest polymorph of the same formula: 18 meV/atom
# E: -0.1713 Ha/atom
# ΔE_f: 1.09 eV per formula unit
data_Pr12Nd6Pb
_symmetry_space_group_name_H-M 'R -3'
_symmetry_Int_Tables_number 148
_symmetry_space_group_name_Hall '-R 3'
_cell_length_a 13.5182
_cell_length_b 13.5182
_cell_length_c 13.0385
_cell_angle_alpha 90.00
_cell_angle_beta 90.00
_cell_angle_gamma 120.00
loop_
_atom_site_label
_atom_site_type_symbol
_atom_site_fract_x
_atom_site_fract_y
_atom_site_fract_z
Pr1 Pr 0.0010 0.7416 0.0004
Pr2 Pr 0.0602 0.5298 0.1116
Nd1 Nd 0.0891 0.9086 0.7737
Pb1 Pb 0.0000 0.0000 0.0000

Among the records above, which one has the highest E? Pr3Nd4Pb4

Which value of E does entry 2 give? -0.1751 Ha/atom

The highest E belongs to which entry? Pr3Nd4Pb4

Among the records above, which one has the lowest E? PrNd12Pb3